VASP calculation (PBE-GGA) on an optimized crystal structure of Mg14FeSi.

abc: 6.2361 6.2361 9.8895
angles: 90.00 90.00 120.00
Space group P-6m2 (No. 187)
Unique sites:
Mg  0.0000  0.0000  0.2488
Mg  0.0127  0.5064  0.2519
Mg  0.3328  0.1664  0.0000
Mg  0.3330  0.1665  0.5000
Fe  0.3333  0.6667  0.5000
Si  0.3333  0.6667  0.0000

Calculated volume   20.817 Å³/atom
Total DFT energy (no corrections)   -34.9 eV per cell
ρ   2115 kg/m³
Formation energy (no corrections)   83 meV/atom
Energy relative to the lowest polymorph listed for this composition   0.00 kJ per mole of atoms

VASP calculation (PBE-GGA) on an optimized crystal structure of Tb2Pm4HoSc.

abc: 5.0700 5.0700 9.9502
angles: 90.00 90.00 90.00
Space group P4/mmm (No. 123)
Unique sites:
Tb  0.0000  0.0000  0.0000
Tb  0.5000  0.5000  0.5000
Pm  0.0000  0.5000  0.2453
Ho  0.0000  0.0000  0.5000
Sc  0.5000  0.5000  0.0000

Calculated volume   31.972 Å³/atom
Total DFT energy (no corrections)   -39.0 eV per cell
ΔH_f (0 K)   28 meV per atom
ρ   7192 kg/m³

VASP calculation (PBE-GGA) on an optimized crystal structure of Ca6In4Bi7.

abc: 10.3477 10.3477 10.3477
angles: 90.00 90.00 90.00
Space group Im-3m (No. 229)
Unique sites:
Ca  0.0000  0.0000  0.2982
In  0.2500  0.2500  0.2500
Bi  0.0000  0.0000  0.0000
Bi  0.0000  0.2500  0.5000

Calculated volume   32.588 Å³/atom
Total DFT energy (no corrections)   -110.7 eV per cell
ΔH_f (0 K)   -307 meV per atom
ρ   6482 kg/m³

VASP calculation (PBE-GGA) on an optimized crystal structure of BaAl3Ag2.

abc: 16.6280 4.5398 8.2129
angles: 90.00 114.05 90.00
Space group C2/m (No. 12)
Unique sites:
Ba  0.1539  0.0000  0.0808
Al  0.0155  0.0000  0.3491
Al  0.0878  0.5000  0.6462
Al  0.1859  0.5000  0.4433
Ag  0.0217  0.5000  0.1890
Ag  0.1733  0.0000  0.6272

Calculated volume   23.590 Å³/atom
Total DFT energy (no corrections)   -79.8 eV per cell
ΔH_f (0 K)   -183 meV per atom
ρ   5092 kg/m³
Energy relative to the lowest polymorph listed for this composition   6.29 kJ per mole of atoms

VASP calculation (PBE-GGA) on an optimized crystal structure of Li2CaIn2Hg2.

abc: 4.8873 4.8873 23.9771
angles: 90.00 90.00 120.00
Space group R-3m (No. 166, hexagonal axes)
Unique sites:
Li  0.0000  0.0000  0.1352
Ca  0.0000  0.0000  0.0000
In  0.0000  0.0000  0.2600
Hg  0.0000  0.0000  0.4264

Calculated volume   23.618 Å³/atom
Total DFT energy (no corrections)   -41.8 eV per cell
ΔH_f (0 K)   -288 meV per atom
ρ   6878 kg/m³

VASP calculation (PBE-GGA) on an optimized crystal structure of Pr3Sm6Th.

abc: 11.5701 6.8288 9.2563
angles: 90.00 108.49 90.00
Space group C2/m (No. 12)
Unique sites:
Pr  0.0000  0.0000  0.0000
Pr  0.0788  0.0000  0.6699
Sm  0.1259  0.5000  0.9151
Sm  0.1848  0.2415  0.3069
Th  0.0000  0.5000  0.5000

Calculated volume   34.679 Å³/atom
Total DFT energy (no corrections)   -95.7 eV per cell
ΔH_f (0 K)   223 meV per atom
ρ   7455 kg/m³
Energy relative to the lowest polymorph listed for this composition   13.79 kJ per mole of atoms

VASP calculation (PBE-GGA) on an optimized crystal structure of TiMn3.

abc: 4.1044 4.1044 11.5684
angles: 90.00 90.00 90.00
Space group I4/mmm (No. 139)
Unique sites:
Ti  0.0000  0.0000  0.1265
Mn  0.0000  0.0000  0.3785
Mn  0.0000  0.5000  0.0000
Mn  0.0000  0.5000  0.2500

Calculated volume   12.180 Å³/atom
Total DFT energy (no corrections)   -142.8 eV per cell
ΔH_f (0 K)   -74 meV per atom
ρ   7249 kg/m³

VASP calculation (PBE-GGA) on an optimized crystal structure of RbLa2Ir.

abc: 7.6605 7.6605 7.6605
angles: 90.00 90.00 90.00
Space group Fm-3m (No. 225)
Unique sites:
Rb  0.0000  0.0000  0.0000
La  0.2500  0.2500  0.2500
Ir  0.0000  0.0000  0.5000

Calculated volume   28.097 Å³/atom
Total DFT energy (no corrections)   -74.4 eV per cell
ΔH_f (0 K)   270 meV per atom
ρ   8208 kg/m³
Energy relative to the lowest polymorph listed for this composition   62.60 kJ per mole of atoms

Number 7 is which compound? TiMn3

Copy entry 5 word for word.
VASP calculation (PBE-GGA) on an optimized crystal structure of Li2CaIn2Hg2.

abc: 4.8873 4.8873 23.9771
angles: 90.00 90.00 120.00
Space group R-3m (No. 166, hexagonal axes)
Unique sites:
Li  0.0000  0.0000  0.1352
Ca  0.0000  0.0000  0.0000
In  0.0000  0.0000  0.2600
Hg  0.0000  0.0000  0.4264

Calculated volume   23.618 Å³/atom
Total DFT energy (no corrections)   -41.8 eV per cell
ΔH_f (0 K)   -288 meV per atom
ρ   6878 kg/m³

Number 1 is which compound? Mg14FeSi